# 1
## Pr3Ho5Bi8 (PBE)

Data for crystalline Pr3Ho5Bi8 at its relaxed geometry.

Output
The calculation puts the total energy at -0.3780 Ry/atom. The space group is R-3m, No. 166.

a b c (Å): 9.058 9.058 9.058
angles (deg): 60.05 60.05 60.05
Sites, in units of the cell vectors:
Pr: 0.000 0.500 0.500
Pr: 0.500 0.000 0.500
Pr: 0.500 0.500 0.000
Ho: 0.000 0.000 0.000
Ho: 0.000 0.000 0.500
Ho: 0.000 0.500 0.000
Ho: 0.500 0.000 0.000
Ho: 0.500 0.500 0.500
Bi: 0.242 0.750 0.750
Bi: 0.246 0.246 0.246
Bi: 0.250 0.250 0.758
Bi: 0.250 0.758 0.250
Bi: 0.750 0.242 0.750
Bi: 0.750 0.750 0.242
Bi: 0.754 0.754 0.754
Bi: 0.758 0.250 0.250

***

# 2
## Ca2CeN (PBE)

Data for crystalline Ca2CeN at its relaxed geometry.

Output
The formation energy (no corrections) comes out at -376 meV per atom. The space group is R-3m, No. 166.

a b c (Å): 3.482 3.482 30.126
angles (deg): 90.00 90.00 120.00
Sites, in units of the cell vectors:
Ca: 0.000 0.000 0.124
Ca: 0.000 0.000 0.876
Ca: 0.333 0.667 0.543
Ca: 0.333 0.667 0.791
Ca: 0.667 0.333 0.209
Ca: 0.667 0.333 0.457
Ce: 0.000 0.000 0.000
Ce: 0.333 0.667 0.667
Ce: 0.667 0.333 0.333
N: 0.000 0.000 0.500
N: 0.333 0.667 0.167
N: 0.667 0.333 0.833

***

# 3
## PrY5In4 (PBE)

Data for crystalline PrY5In4 at its relaxed geometry.

Output
The calculation puts the total energy at -0.3827 Ry/atom. The space group is P4/mmm, No. 123.

a b c (Å): 3.581 3.581 21.967
angles (deg): 90.00 90.00 90.00
Sites, in units of the cell vectors:
Pr: 0.000 0.000 0.000
Y: 0.500 0.500 0.120
Y: 0.500 0.500 0.309
Y: 0.500 0.500 0.500
Y: 0.500 0.500 0.691
Y: 0.500 0.500 0.880
In: 0.000 0.000 0.214
In: 0.000 0.000 0.405
In: 0.000 0.000 0.595
In: 0.000 0.000 0.786

***

# 4
## TaTe2As (PBE)

Data for crystalline TaTe2As at its relaxed geometry.

Output
The formation energy (no corrections) comes out at 622 meV per atom. The space group is I-42d, No. 122.

a b c (Å): 6.801 6.801 11.273
angles (deg): 90.00 90.00 90.00
Sites, in units of the cell vectors:
Ta: 0.000 0.000 0.000
Ta: 0.000 0.500 0.250
Ta: 0.500 0.000 0.750
Ta: 0.500 0.500 0.500
Te: 0.222 0.250 0.125
Te: 0.250 0.722 0.375
Te: 0.250 0.778 0.875
Te: 0.278 0.250 0.625
Te: 0.722 0.750 0.625
Te: 0.750 0.222 0.875
Te: 0.750 0.278 0.375
Te: 0.778 0.750 0.125
As: 0.000 0.000 0.500
As: 0.000 0.500 0.750
As: 0.500 0.000 0.250
As: 0.500 0.500 0.000

***

# 5
## Pd4Pt2Au (PBE)

Data for crystalline Pd4Pt2Au at its relaxed geometry.

Output
The space group is I4/mmm, No. 139. The polymorph energy (0 for the lowest one) comes out at 0.944 eV per atom.

a b c (Å): 4.890 4.890 12.881
angles (deg): 90.00 90.00 90.00
Sites, in units of the cell vectors:
Pd: 0.000 0.000 0.205
Pd: 0.000 0.000 0.795
Pd: 0.000 0.500 0.000
Pd: 0.000 0.500 0.500
Pd: 0.500 0.000 0.000
Pd: 0.500 0.000 0.500
Pd: 0.500 0.500 0.295
Pd: 0.500 0.500 0.705
Pt: 0.000 0.000 0.399
Pt: 0.000 0.000 0.601
Pt: 0.500 0.500 0.101
Pt: 0.500 0.500 0.899
Au: 0.000 0.000 0.000
Au: 0.500 0.500 0.500

***

# 6
## NaCdOs2 (PBE)

Data for crystalline NaCdOs2 at its relaxed geometry.

Output
The calculation puts the total energy at -0.3509 Ry/atom. The space group is I-42d, No. 122.

a b c (Å): 7.969 7.969 4.903
angles (deg): 90.00 90.00 90.00
Sites, in units of the cell vectors:
Na: 0.000 0.000 0.000
Na: 0.000 0.500 0.250
Na: 0.500 0.000 0.750
Na: 0.500 0.500 0.500
Cd: 0.000 0.000 0.500
Cd: 0.000 0.500 0.750
Cd: 0.500 0.000 0.250
Cd: 0.500 0.500 0.000
Os: 0.218 0.250 0.625
Os: 0.250 0.718 0.875
Os: 0.250 0.782 0.375
Os: 0.282 0.250 0.125
Os: 0.718 0.750 0.125
Os: 0.750 0.218 0.375
Os: 0.750 0.282 0.875
Os: 0.782 0.750 0.625

***

# 7
## MnAlPt2 (PBE)

Data for crystalline MnAlPt2 at its relaxed geometry.

Output
The calculation puts the total energy at -0.4909 Ry/atom. The space group is F-43m, No. 216.

a b c (Å): 6.224 6.224 6.224
angles (deg): 90.00 90.00 90.00
Sites, in units of the cell vectors:
Mn: 0.000 0.000 0.000
Mn: 0.000 0.500 0.500
Mn: 0.500 0.000 0.500
Mn: 0.500 0.500 0.000
Al: 0.250 0.250 0.750
Al: 0.250 0.750 0.250
Al: 0.750 0.250 0.250
Al: 0.750 0.750 0.750
Pt: 0.000 0.000 0.500
Pt: 0.000 0.500 0.000
Pt: 0.250 0.250 0.250
Pt: 0.250 0.750 0.750
Pt: 0.500 0.000 0.000
Pt: 0.500 0.500 0.500
Pt: 0.750 0.250 0.750
Pt: 0.750 0.750 0.250

***

# 8
## BaPr2AgS4 (PBE)

Data for crystalline BaPr2AgS4 at its relaxed geometry.

Output
The formation energy (no corrections) comes out at -1696 meV per atom. The space group is Cmcm, No. 63.

a b c (Å): 7.277 7.277 14.318
angles (deg): 90.00 90.00 146.63
Sites, in units of the cell vectors:
Ba: 0.121 0.879 0.750
Ba: 0.879 0.121 0.250
Pr: 0.373 0.627 0.558
Pr: 0.373 0.627 0.942
Pr: 0.627 0.373 0.058
Pr: 0.627 0.373 0.442
Ag: 0.150 0.850 0.250
Ag: 0.850 0.150 0.750
S: 0.000 0.000 0.000
S: 0.000 0.000 0.500
S: 0.270 0.730 0.114
S: 0.270 0.730 0.386
S: 0.452 0.548 0.750
S: 0.548 0.452 0.250
S: 0.730 0.270 0.614
S: 0.730 0.270 0.886

***

# 9
## Ac2CdAs4Pt3 (PBE)

Data for crystalline Ac2CdAs4Pt3 at its relaxed geometry.

Output
The calculation puts the total energy at -0.3981 Ry/atom. The space group is P-4m2, No. 115.

a b c (Å): 4.594 4.594 10.338
angles (deg): 90.00 90.00 90.00
Sites, in units of the cell vectors:
Ac: 0.000 0.500 0.240
Ac: 0.500 0.000 0.760
Cd: 0.000 0.000 0.500
As: 0.000 0.000 0.000
As: 0.000 0.500 0.643
As: 0.500 0.000 0.357
As: 0.500 0.500 0.000
Pt: 0.000 0.500 0.888
Pt: 0.500 0.000 0.112
Pt: 0.500 0.500 0.500

***

# 10
## TmScGePt (PBE)

Data for crystalline TmScGePt at its relaxed geometry.

Output
The space group is Amm2, No. 38. The polymorph energy (0 for the lowest one) comes out at 0.000 eV per atom.

a b c (Å): 4.170 3.733 10.583
angles (deg): 90.00 90.00 90.00
Sites, in units of the cell vectors:
Tm: 0.000 0.000 0.000
Tm: 0.000 0.500 0.500
Sc: 0.500 0.000 0.717
Sc: 0.500 0.500 0.217
Ge: 0.000 0.000 0.272
Ge: 0.000 0.500 0.772
Pt: 0.500 0.000 0.441
Pt: 0.500 0.500 0.941

***

# 11
## Ni2H6Pd (PBE)

Data for crystalline Ni2H6Pd at its relaxed geometry.

Output
The space group is C2/m, No. 12. The polymorph energy (0 for the lowest one) comes out at 0.004 eV per atom.

a b c (Å): 4.555 4.555 5.766
angles (deg): 122.89 122.89 41.35
Sites, in units of the cell vectors:
Ni: 0.176 0.176 0.085
Ni: 0.824 0.824 0.915
H: 0.048 0.048 0.214
H: 0.290 0.290 0.911
H: 0.358 0.358 0.413
H: 0.642 0.642 0.587
H: 0.710 0.710 0.089
H: 0.952 0.952 0.786
Pd: 0.000 0.000 0.500

***

# 12
## ZnSiAs2Br (PBE)

Data for crystalline ZnSiAs2Br at its relaxed geometry.

Output
The formation energy (no corrections) comes out at 574 meV per atom. The space group is P4/mmm, No. 123. The polymorph energy (0 for the lowest one) comes out at 0.000 eV per atom.

a b c (Å): 4.834 4.834 5.156
angles (deg): 90.00 90.00 90.00
Sites, in units of the cell vectors:
Zn: 0.000 0.000 0.000
Si: 0.500 0.500 0.500
As: 0.000 0.500 0.500
As: 0.500 0.000 0.500
Br: 0.500 0.500 0.000

***

# 13
## ZnGaHRu2 (PBE)

Data for crystalline ZnGaHRu2 at its relaxed geometry.

Output
The calculation puts the total energy at -0.3816 Ry/atom. The space group is P4/mmm, No. 123.

a b c (Å): 4.130 4.130 3.428
angles (deg): 90.00 90.00 90.00
Sites, in units of the cell vectors:
Zn: 0.000 0.000 0.000
Ga: 0.500 0.500 0.000
H: 0.000 0.000 0.500
Ru: 0.000 0.500 0.500
Ru: 0.500 0.000 0.500

***

# 14
## LiAc3Be2O8 (PBE)

Data for crystalline LiAc3Be2O8 at its relaxed geometry.

Output
The formation energy (no corrections) comes out at -2675 meV per atom. The space group is P-3m1, No. 164.

a b c (Å): 5.328 5.328 7.090
angles (deg): 90.00 90.00 120.00
Sites, in units of the cell vectors:
Li: 0.000 0.000 0.000
Ac: 0.000 0.000 0.500
Ac: 0.333 0.667 0.149
Ac: 0.667 0.333 0.851
Be: 0.333 0.667 0.704
Be: 0.667 0.333 0.296
O: 0.172 0.344 0.809
O: 0.172 0.828 0.809
O: 0.333 0.667 0.483
O: 0.344 0.172 0.191
O: 0.656 0.828 0.809
O: 0.667 0.333 0.517
O: 0.828 0.172 0.191
O: 0.828 0.656 0.191

***

# 15
## NaPa2CrN5 (PBE)

Data for crystalline NaPa2CrN5 at its relaxed geometry.

Output
The formation energy (no corrections) comes out at -1038 meV per atom. The space group is I4/mcm, No. 140.

a b c (Å): 7.193 7.193 7.193
angles (deg): 124.66 124.66 82.10
Sites, in units of the cell vectors:
Na: 0.250 0.250 0.000
Na: 0.750 0.750 0.000
Pa: 0.184 0.684 0.868
Pa: 0.316 0.184 0.500
Pa: 0.684 0.816 0.500
Pa: 0.816 0.316 0.132
Cr: 0.250 0.750 0.500
Cr: 0.750 0.250 0.500
N: 0.000 0.000 0.000
N: 0.003 0.227 0.500
N: 0.227 0.727 0.224
N: 0.273 0.497 0.500
N: 0.497 0.997 0.224
N: 0.500 0.500 0.000
N: 0.503 0.003 0.776
N: 0.727 0.503 0.500
N: 0.773 0.273 0.776
N: 0.997 0.773 0.500